# CoPH2Br (PBE-GGA, relaxed)
data_CoPH2Br
_chemical_formula_sum 'Co1 P1 H2 Br1'
_symmetry_space_group_name_H-M 'P 1'
_symmetry_Int_Tables_number 1
_symmetry_space_group_name_Hall 'P 1'
_cell_length_a 3.482
_cell_length_b 4.006
_cell_length_c 5.869
_cell_angle_alpha 93.11
_cell_angle_beta 107.24
_cell_angle_gamma 115.68
loop_
_atom_site_label
_atom_site_type_symbol
_atom_site_fract_x
_atom_site_fract_y
_atom_site_fract_z
Co1 Co 0.000 0.000 0.000
P1 P 0.486 0.821 0.152
H1 H 0.325 0.434 0.214
H2 H 0.749 0.588 0.908
Br1 Br 0.868 0.138 0.601
# Crystal system: triclinic
# Spin magnetization in μB/cell: 0.000
# Polymorph energy (0 for the lowest one) in meV per atom: 145